Computed, not measured: a geometry-optimized Mg3Cd2Ga2Ag4 structure at the PBE-GGA level of DFT.

Values from the calculation:
formation energy = -80.8 meV/atom
total DFT energy (no corrections) = -2.269 eV per atom

Structure (POSCAR):
```
Mg3Cd2Ga2Ag4
1.0
4.5826 0.0000 0.0000
-2.2913 3.9686 0.0000
0.0000 0.0000 12.2708
Mg Cd Ga Ag
3 2 2 4
Cartesian
0.0000 0.0000 9.0701
0.0000 0.0000 0.0000
0.0000 0.0000 3.2007
2.2913 1.3229 5.2210
0.0000 2.6458 7.0498
2.2913 1.3229 10.7766
0.0000 2.6458 1.4942
2.2913 1.3229 1.6076
0.0000 2.6458 10.6632
2.2913 1.3229 8.0842
0.0000 2.6458 4.1866
```